Entry 1:
! PaPH2 (PBE-GGA, relaxed); values from VASP
&SYSTEM
  ibrav = 0, nat = 4, ntyp = 3
/
ATOMIC_SPECIES
Pa 231.04 Pa.upf
P 30.97 P.upf
H 1.01 H.upf
CELL_PARAMETERS angstrom
2.035 -3.549 0.000
2.035 3.549 0.000
0.000 0.000 3.951
ATOMIC_POSITIONS crystal
Pa 0.000 0.000 0.000
P 0.500 0.500 0.500
H 0.000 0.500 0.000
H 0.500 0.000 0.000
! - crystal system = orthorhombic
! - M_tot (μB per cell) = 0.00
! - electronic total energy (Ha/atom) = -0.210

=====

Entry 2:
! Pr8Ho3Sc2 (PBE-GGA, relaxed); values from VASP
&SYSTEM
  ibrav = 0, nat = 13, ntyp = 3
/
ATOMIC_SPECIES
Pr 140.91 Pr.upf
Ho 164.93 Ho.upf
Sc 44.96 Sc.upf
CELL_PARAMETERS angstrom
6.522 -5.898 0.000
6.522 5.898 0.000
-2.356 0.000 5.637
ATOMIC_POSITIONS crystal
Pr 0.058 0.058 0.291
Pr 0.084 0.582 0.844
Pr 0.350 0.350 0.428
Pr 0.418 0.916 0.156
Pr 0.582 0.084 0.844
Pr 0.650 0.650 0.572
Pr 0.916 0.418 0.156
Pr 0.942 0.942 0.709
Ho 0.247 0.753 0.500
Ho 0.500 0.500 0.000
Ho 0.753 0.247 0.500
Sc 0.206 0.206 0.851
Sc 0.794 0.794 0.149
! - crystal system = monoclinic
! - energy relative to the elements (meV/atom) = 164.1
! - M_tot (μB per cell) = 0.00

=====

Entry 3:
! Tb2BPPt6 (PBE-GGA, relaxed); values from VASP
&SYSTEM
  ibrav = 0, nat = 20, ntyp = 4
/
ATOMIC_SPECIES
Tb 158.93 Tb.upf
B 10.81 B.upf
P 30.97 P.upf
Pt 195.08 Pt.upf
CELL_PARAMETERS angstrom
5.708 0.000 0.000
0.000 8.426 0.000
0.000 0.000 7.307
ATOMIC_POSITIONS crystal
Tb 0.250 0.030 0.227
Tb 0.250 0.470 0.227
Tb 0.750 0.530 0.773
Tb 0.750 0.970 0.773
B 0.250 0.250 0.712
B 0.750 0.750 0.288
P 0.250 0.750 0.812
P 0.750 0.250 0.188
Pt 0.005 0.750 0.496
Pt 0.006 0.250 0.936
Pt 0.250 0.503 0.662
Pt 0.250 0.997 0.662
Pt 0.494 0.250 0.936
Pt 0.495 0.750 0.496
Pt 0.505 0.250 0.504
Pt 0.506 0.750 0.064
Pt 0.750 0.003 0.338
Pt 0.750 0.497 0.338
Pt 0.994 0.750 0.064
Pt 0.995 0.250 0.504
! - crystal system = orthorhombic
! - energy relative to the elements (meV/atom) = -909.9
! - M_tot (μB per cell) = 0.00